Run one
Here is a geometry-optimized GaRe2I2 structure from Alexandria. Energies are from GGA-PBE.

The structure in POSCAR format:
```
GaRe2I2
1.0
4.291 0.000 0.000
0.000 4.291 0.000
2.145 2.145 6.622
Re Ga I
2 1 2
Direct
0.250 0.750 0.500
0.750 0.250 0.500
0.000 0.000 0.000
0.365 0.365 0.271
0.635 0.635 0.729
```

Size of the total moment, μB/f.u.: 0.00
DOS at the Fermi energy, states/eV/cell: 4.72

=====

Run two
Here is a geometry-optimized GaRe2I2 structure from Alexandria. Energies are from GGA-PBE.

The structure in POSCAR format:
```
GaRe2I2
1.0
-5.255 6.061 -3.747
-0.216 -4.789 -7.444
-2.538 -1.542 1.066
I Re Ga
4 4 2
Direct
0.279 0.779 0.000
0.721 0.221 0.000
0.221 0.279 0.000
0.779 0.721 0.000
0.408 0.092 0.500
0.592 0.908 0.500
0.908 0.408 0.500
0.092 0.592 0.500
0.000 0.000 0.000
0.500 0.500 0.000
```

Size of the total moment, μB/f.u.: 0.88
DOS at the Fermi energy, states/eV/cell: 9.43

=====

Most stable structure among those shown: run one. Next: +213 meV/atom.